## NdAgAs2 (SCAN)

Data for a crystal of NdAgAs2 relaxed with PBEsol. Values from VASP.

Results
Energy of formation ... -885 meV/atom
SG ... P4/nmm

```
&SYSTEM
  ibrav = 0, nat = 8, ntyp = 3
/
ATOMIC_SPECIES
As 74.92 As.upf
Nd 144.24 Nd.upf
Ag 107.87 Ag.upf
CELL_PARAMETERS angstrom
4.013 0.000 0.000
0.000 4.013 0.000
0.000 0.000 10.345
ATOMIC_POSITIONS angstrom
As 0.000 2.006 8.509
As 2.006 0.000 1.836
As 2.006 2.006 5.172
As 0.000 0.000 5.172
Nd 0.000 2.006 2.788
Nd 2.006 0.000 7.557
Ag 2.006 2.006 0.000
Ag 0.000 0.000 0.000
```

***

## Ni2AgAs (SCAN)

Data for a crystal of Ni2AgAs relaxed with PBEsol. Values from VASP.

Results
Energy of formation ... 78 meV/atom
SG ... Pmm2

```
&SYSTEM
  ibrav = 0, nat = 4, ntyp = 3
/
ATOMIC_SPECIES
Ag 107.87 Ag.upf
As 74.92 As.upf
Ni 58.69 Ni.upf
CELL_PARAMETERS angstrom
2.870 0.000 0.049
0.000 4.108 0.000
-0.072 0.000 4.491
ATOMIC_POSITIONS angstrom
Ag 1.043 0.000 1.983
As 1.017 2.054 3.855
Ni 2.443 0.000 4.252
Ni 2.491 2.054 1.258
```

***

## Ni2AgAs (SCAN)

Data for a crystal of Ni2AgAs relaxed with PBEsol. Values from VASP.

Results
Energy of formation ... 176 meV/atom
SG ... I-4m2

```
&SYSTEM
  ibrav = 0, nat = 4, ntyp = 3
/
ATOMIC_SPECIES
Ag 107.87 Ag.upf
As 74.92 As.upf
Ni 58.69 Ni.upf
CELL_PARAMETERS angstrom
-2.862 -0.049 -2.248
1.952 -1.860 -2.444
-0.760 -2.451 3.968
ATOMIC_POSITIONS angstrom
Ag -0.455 -0.955 -2.346
As 0.369 -2.633 -0.411
Ni 0.000 0.000 0.000
Ni -2.038 -1.728 -0.313
```

***

## NiAgAs2Se (SCAN)

Data for a crystal of NiAgAs2Se relaxed with PBEsol. Values from VASP.

Results
ΔE_f (raw) ... 1.25 eV/atom
SG ... P4/mmm

```
&SYSTEM
  ibrav = 0, nat = 5, ntyp = 4
/
ATOMIC_SPECIES
Ni 58.69 Ni.upf
As 74.92 As.upf
Se 78.96 Se.upf
Ag 107.87 Ag.upf
CELL_PARAMETERS angstrom
4.841 0.000 0.000
0.000 4.841 0.000
0.000 0.000 4.967
ATOMIC_POSITIONS angstrom
Ni 2.420 2.420 2.483
As 0.000 2.420 0.000
As 2.420 0.000 0.000
Se 0.000 0.000 2.483
Ag 0.000 0.000 0.000
```

***

## Ag3AsO4 (SCAN)

Data for a crystal of Ag3AsO4 relaxed with PBEsol. Values from VASP.

Results
ΔE_f (raw) ... -0.74 eV/atom
SG ... R3c

```
&SYSTEM
  ibrav = 0, nat = 16, ntyp = 3
/
ATOMIC_SPECIES
Ag 107.87 Ag.upf
As 74.92 As.upf
O 16.00 O.upf
CELL_PARAMETERS angstrom
-0.582 2.937 5.315
3.718 -4.097 2.569
4.760 3.501 -1.517
ATOMIC_POSITIONS angstrom
Ag 5.205 0.425 0.274
Ag 2.360 -1.369 4.461
Ag 2.017 3.785 2.992
Ag 2.852 -1.370 1.015
Ag 2.314 2.365 0.309
Ag 0.467 0.676 3.220
As 3.961 1.174 3.194
As 0.013 0.004 0.011
O 5.473 0.722 2.470
O 3.989 2.880 3.517
O 2.664 0.790 2.148
O 3.791 0.328 4.700
O 6.612 1.960 5.332
O 3.914 -2.372 2.704
O 0.913 2.269 4.720
O 4.479 2.862 0.079
```

***

## Ag2As2O7 (SCAN)

Data for a crystal of Ag2As2O7 relaxed with PBEsol. Values from VASP.

Results
ΔE_f (raw) ... -0.80 eV/atom
SG ... P2_1/c

```
&SYSTEM
  ibrav = 0, nat = 44, ntyp = 3
/
ATOMIC_SPECIES
Ag 107.87 Ag.upf
As 74.92 As.upf
O 16.00 O.upf
CELL_PARAMETERS angstrom
-2.059 -4.723 -3.450
6.444 1.889 -2.616
5.770 -8.443 8.116
ATOMIC_POSITIONS angstrom
Ag 4.272 -2.882 -1.012
Ag 0.145 -6.370 -1.253
Ag 5.883 -8.395 3.062
Ag 10.010 -4.907 3.303
Ag 7.204 -8.803 6.127
Ag 6.838 -6.478 -0.504
Ag 2.952 -2.474 -4.077
Ag 3.317 -4.800 2.554
As 0.758 -3.536 0.040
As 3.496 -5.751 -2.225
As 9.397 -7.742 2.010
As 6.659 -5.526 4.275
As 4.634 -0.020 -3.193
As 3.201 -7.449 0.354
As 5.521 -11.258 5.243
As 6.954 -3.829 1.696
O 5.147 -9.677 6.270
O 5.007 -7.681 -0.043
O 5.008 -1.601 -4.220
O 5.148 -3.596 2.093
O 10.089 -6.963 5.743
O 3.415 -6.725 1.919
O 0.067 -4.314 -3.692
O 6.740 -4.552 0.131
O 3.377 -1.177 -2.430
O 1.354 -7.744 0.288
O 6.779 -10.100 4.480
O 8.801 -3.534 1.762
O 6.048 -0.457 -2.008
O 3.161 -5.759 -0.505
O 4.108 -10.821 4.058
O 6.994 -5.518 2.555
O 1.174 -3.253 -1.629
O 6.887 -2.086 0.844
O 8.981 -8.024 3.679
O 3.268 -9.191 1.206
O 6.551 -3.182 -2.275
O 4.116 -1.409 0.416
O 3.604 -8.095 4.325
O 6.040 -9.868 1.635
O 2.220 -3.265 0.884
O 4.078 -4.192 -2.619
O 7.935 -8.012 1.166
O 6.077 -7.085 4.670
```